DFT (PBE) results for an optimized crystal structure of Na3ZrAu.

Calculated values
ΔE to the lowest computed polymorph: 2.890 eV/f.u.
ΔE_f: 621 kJ/mol of formula units
Final energy: -9.35 eV for the cell shown
Spin magnetization: 4.00 μB/f.u.
Space-group type: Pm-3m, No. 221

Cell lengths 6.1163, 6.1163, 6.1163 Å; angles 90.00, 90.00, 90.00 degrees
Closest atoms and distances in Å follow each position.
Element x y z (fractional)
Na  0.0000  0.5000  0.0000  2 Zr 3.06
Na  0.0000  0.0000  0.5000  2 Zr 3.06
Na  0.5000  0.0000  0.0000  2 Zr 3.06
Zr  0.0000  0.0000  0.0000  6 Na 3.06
Au  0.5000  0.5000  0.5000  12 Na 4.32